Compound: MgIn2
Source: Alexandria via LeMat-Bulk
Functional: SCAN
Structure: single point on PBEsol structure

Cell lengths 4.5425, 6.3809, 9.7259 Å; angles 90.00, 90.00, 90.00 degrees
Element x y z (fractional)
Mg1 0.2500 0.6324 0.5896
In1 0.2500 0.6155 0.2589
In2 0.2500 0.1338 0.5771
In3 0.7500 0.3662 0.0771
Mg2 0.2500 0.1324 0.9104
In4 0.7500 0.3845 0.7411
Mg3 0.7500 0.3676 0.4104
In5 0.7500 0.8662 0.4229
In6 0.7500 0.8845 0.7589
Mg4 0.7500 0.8676 0.0896
In7 0.2500 0.6338 0.9229
In8 0.2500 0.1155 0.2411

Properties
- crystal system = orthorhombic
- final energy (eV per atom) = -24.018
- formation energy from the elements (eV/atom) = -0.103